[1]
Dy4InHg | PBE | relaxed

As for the symmetry: Pmmm. For the energy above the most stable polymorph in this dataset, the calculation gives 0.006 eV/atom.

Unit cell a=3.6600 b=8.7089 c=5.6628 alpha=89.98 beta=90.00 gamma=90.00
Fractional positions:
1 Dy 0.5000 0.7072 0.9996
2 Dy 0.5000 0.2928 0.0004
3 Dy 0.0000 0.2008 0.5004
4 Dy 0.0000 0.7992 0.4996
5 In 0.5000 0.5000 0.5000
6 Hg 0.0000 0.0000 0.0000



[2]
TaTiB | PBE | relaxed

As for the symmetry: Cmcm. For the energy above the most stable polymorph in this dataset, the calculation gives 0.000 eV/atom.

Unit cell a=3.0922 b=3.2994 c=7.9578 alpha=101.96 beta=90.00 gamma=90.00
Fractional positions:
1 Ta 0.2500 0.3046 0.6091
2 Ta 0.7500 0.6954 0.3909
3 Ti 0.2500 0.0799 0.1598
4 Ti 0.7500 0.9201 0.8402
5 B 0.2500 0.4695 0.9389
6 B 0.7500 0.5305 0.0611



[3]
Sr2Ge2Pd | PBE | relaxed

As for the symmetry: Amm2.

Unit cell a=4.4429 b=4.2916 c=7.0434 alpha=107.74 beta=90.00 gamma=90.00
Fractional positions:
1 Sr 0.0000 0.6814 0.3627
2 Sr 0.0000 0.9335 0.8670
3 Ge 0.5000 0.3108 0.6215
4 Ge 0.5000 0.5036 0.0072
5 Pd 0.5000 0.1129 0.2258



Record-wise volume values, in Å³/cell: 180.5; 79.4; 127.9
Record-wise DFT formation energy values, in eV per atom: -0.094; -0.503; -0.576